VASP calculation (PBE) on a relaxed PuCdNiPt crystal.

Cell lengths 4.7460, 4.7460, 4.7460 Å; angles 60.00, 60.00, 60.00 degrees
Closest atoms and distances in Å follow each position.
Fractional positions:
Pu: 0.0000 0.0000 0.0000  4 Ni 2.91, 4 Pt 2.91
Cd: 0.5000 0.5000 0.5000  4 Ni 2.91, 4 Pt 2.91
Ni: 0.7500 0.7500 0.7500  4 Cd 2.91, 4 Pu 2.91
Pt: 0.2500 0.2500 0.2500  4 Cd 2.91, 4 Pu 2.91

Calculated values
The value obtained for the formation enthalpy at 0 K is -0.28 eV/atom. Its density is 13.40 g cm⁻³. Its size of the total moment is 4.73 μB per formula unit. Its crystal system is cubic. For the volume, the calculation gives 76 Å³ per cell.


VASP calculation (PBE) on a relaxed CdNiSb2Pt crystal.

Cell lengths 4.7949, 4.7949, 4.9686 Å; angles 90.00, 90.00, 90.00 degrees
Closest atoms and distances in Å follow each position.
Fractional positions:
Cd: 0.0000 0.0000 0.0000  4 Pt 3.39, 8 Sb 3.45
Ni: 0.5000 0.5000 0.5000  4 Sb 2.40, 2 Pt 2.48
Sb: 0.0000 0.5000 0.5000  2 Ni 2.40
Sb: 0.5000 0.0000 0.5000  2 Ni 2.40
Pt: 0.5000 0.5000 0.0000  2 Ni 2.48

Calculated values
Its density is 8.86 g cm⁻³. Its size of the total moment is 0.00 μB per formula unit. Its crystal system is tetragonal. For the formation energy without anion corrections, the calculation gives 316.4 meV per atom. For the volume, the calculation gives 114 Å³ per cell.